Density functional theory data (PBEsol) for crystalline La2AlF2 at its relaxed geometry.

Lattice parameters (Å, degrees): 7.621 7.621 7.621 151.00 151.00 41.48
Fractional positions:
La 0.135 0.135 0.000
La 0.865 0.865 0.000
Al 0.500 0.500 0.000
F 0.250 0.750 0.500
F 0.750 0.250 0.500

mass density = 5.48 g cm⁻³
formation energy from raw total energies = -223 kJ per mole of atoms